Model 1:
A plane-wave DFT calculation with PBE was carried out for a relaxed InPd5Pb crystal.

**Total magnetization**: 0.000 μB/f.u.

Cell lengths 4.081, 4.081, 7.723 Å; angles 90.00, 90.00, 90.00 degrees
Positions (direct):
In1 0.000 0.000 0.000
Pd1 0.000 0.500 0.255
Pd2 0.000 0.500 0.745
Pd3 0.500 0.000 0.255
Pd4 0.500 0.000 0.745
Pd5 0.500 0.500 0.000
Pb1 0.500 0.500 0.500

***

Model 2:
A plane-wave DFT calculation with PBE was carried out for a relaxed InPd5Pb crystal.

**Total magnetization**: 0.000 μB/f.u.

Cell lengths 7.022, 7.022, 7.022 Å; angles 118.71, 104.29, 105.83 degrees
Positions (direct):
In1 0.369 0.119 0.250
In2 0.631 0.881 0.750
Pd1 0.000 0.206 0.206
Pd2 0.000 0.794 0.794
Pd3 0.201 0.710 0.491
Pd4 0.273 0.523 0.750
Pd5 0.281 0.290 0.991
Pd6 0.500 0.206 0.706
Pd7 0.500 0.794 0.294
Pd8 0.719 0.710 0.009
Pd9 0.727 0.477 0.250
Pd10 0.799 0.290 0.509
Pb1 0.000 0.000 0.500
Pb2 0.000 0.500 0.000

***

It is model 1 that is most stable; the runner-up trails by 12.1 kJ/mol of atoms.

***

Model 1:
A plane-wave DFT calculation with PBE was carried out for a relaxed In2Pd8Pb crystal.

**Total magnetization**: 0.000 μB/f.u.

Cell lengths 7.584, 7.584, 7.584 Å; angles 148.08, 121.11, 68.57 degrees
Positions (direct):
In1 0.171 0.171 0.000
In2 0.829 0.829 0.000
Pd1 0.077 0.335 0.742
Pd2 0.228 0.000 0.228
Pd3 0.335 0.835 0.500
Pd4 0.407 0.665 0.742
Pd5 0.593 0.335 0.258
Pd6 0.665 0.165 0.500
Pd7 0.772 0.000 0.772
Pd8 0.923 0.665 0.258
Pb1 0.500 0.500 0.000

***

Model 2:
A plane-wave DFT calculation with PBE was carried out for a relaxed In2Pd8Pb crystal.

**Total magnetization**: 0.000 μB/f.u.

Cell lengths 7.569, 7.569, 6.428 Å; angles 105.34, 105.34, 31.92 degrees
Positions (direct):
In1 0.217 0.217 0.159
In2 0.783 0.783 0.841
Pd1 0.038 0.038 0.227
Pd2 0.149 0.149 0.708
Pd3 0.322 0.322 0.582
Pd4 0.407 0.407 0.036
Pd5 0.593 0.593 0.964
Pd6 0.678 0.678 0.418
Pd7 0.851 0.851 0.292
Pd8 0.962 0.962 0.773
Pb1 0.500 0.500 0.500

***

It is model 2 that is most stable; the runner-up trails by 1.8 kJ/mol of atoms.